Run a
Material: CaHf8N8O4
Method: DFT, PBE
State: optimized geometry

Cell: 5.4486 5.5877 10.2900 Å, 92.17 90.26 118.90°
Space group P1 (No. 1)
Asymmetric unit:
Ca1 0.0000 0.0000 0.0000 [1 per cell]
Hf1 0.2831 0.6081 0.4153 [1 per cell]
Hf2 0.3022 0.6494 0.8266 [1 per cell]
Hf3 0.3516 0.6860 0.1256 [1 per cell]
Hf4 0.6267 0.2979 0.8594 [1 per cell]
Hf5 0.6505 0.3323 0.5653 [1 per cell]
Hf6 0.6520 0.3157 0.1542 [1 per cell]
Hf7 0.9353 0.9916 0.3232 [1 per cell]
Hf8 0.9898 0.9886 0.6317 [1 per cell]
N1 0.0170 0.3946 0.2525 [1 per cell]
N2 0.2530 0.2646 0.4910 [1 per cell]
N3 0.3141 0.9998 0.7334 [1 per cell]
N4 0.4102 0.4399 0.9809 [1 per cell]
N5 0.5528 0.9958 0.9802 [1 per cell]
N6 0.5916 0.6110 0.2606 [1 per cell]
N7 0.9418 0.3242 0.7252 [1 per cell]
N8 0.9523 0.6778 0.4867 [1 per cell]
O1 0.2334 0.9954 0.1988 [1 per cell]
O2 0.6266 0.6304 0.7215 [1 per cell]
O3 0.6477 0.9917 0.4783 [1 per cell]
O4 0.9840 0.5755 0.9833 [1 per cell]


Run b
Material: CaHf8N8O4
Method: DFT, PBE
State: optimized geometry

Cell: 5.6782 5.7849 11.1185 Å, 92.85 102.25 117.57°
Space group P1 (No. 1)
Asymmetric unit:
Ca1 0.0000 0.0000 0.0000 [1 per cell]
Hf1 0.1539 0.9230 0.6062 [1 per cell]
Hf2 0.2056 0.4547 0.3053 [1 per cell]
Hf3 0.2688 0.6304 0.8703 [1 per cell]
Hf4 0.4745 0.6177 0.5740 [1 per cell]
Hf5 0.5266 0.1297 0.2873 [1 per cell]
Hf6 0.6819 0.3492 0.0060 [1 per cell]
Hf7 0.7834 0.2625 0.5693 [1 per cell]
Hf8 0.8894 0.7849 0.3190 [1 per cell]
N1 0.1299 0.0656 0.2223 [1 per cell]
N2 0.1538 0.5852 0.6710 [1 per cell]
N3 0.2633 0.7896 0.4447 [1 per cell]
N4 0.3570 0.9909 0.9432 [1 per cell]
N5 0.5915 0.4449 0.4284 [1 per cell]
N6 0.6109 0.6154 0.9277 [1 per cell]
N7 0.8004 0.4218 0.2042 [1 per cell]
N8 0.8268 0.9542 0.6432 [1 per cell]
O1 0.4910 0.7518 0.2387 [1 per cell]
O2 0.4920 0.2796 0.6504 [1 per cell]
O3 0.9215 0.1801 0.4159 [1 per cell]
O4 0.9963 0.3655 0.9484 [1 per cell]


Result of the stability comparison: run b is the least stable of them.


Run a
Material: CaHf8N8O4
Method: DFT, PBE
State: optimized geometry

Cell: 5.4511 5.6155 10.3082 Å, 85.57 88.13 60.98°
Space group P1 (No. 1)
Asymmetric unit:
Ca1 0.0000 0.0000 0.0000 [1 per cell]
Hf1 0.0189 0.0248 0.6363 [1 per cell]
Hf2 0.0784 0.9888 0.3231 [1 per cell]
Hf3 0.3393 0.3812 0.4250 [1 per cell]
Hf4 0.3461 0.3185 0.1302 [1 per cell]
Hf5 0.3574 0.2981 0.8269 [1 per cell]
Hf6 0.6771 0.7080 0.1627 [1 per cell]
Hf7 0.6852 0.6638 0.8687 [1 per cell]
Hf8 0.6937 0.6989 0.5754 [1 per cell]
N1 0.0006 0.5535 0.0024 [1 per cell]
N2 0.0139 0.7360 0.4872 [1 per cell]
N3 0.3258 0.0145 0.4893 [1 per cell]
N4 0.3881 0.6016 0.2560 [1 per cell]
N5 0.4417 0.9888 0.9837 [1 per cell]
N6 0.6761 0.9730 0.7242 [1 per cell]
N7 0.7493 0.0178 0.2122 [1 per cell]
N8 0.9834 0.3526 0.7390 [1 per cell]
O1 0.0342 0.3854 0.2773 [1 per cell]
O2 0.3477 0.6789 0.7378 [1 per cell]
O3 0.5689 0.3971 0.9680 [1 per cell]
O4 0.6977 0.3457 0.5082 [1 per cell]


Run b
Material: CaHf8N8O4
Method: DFT, PBE
State: optimized geometry

Cell: 5.4630 5.5407 10.6999 Å, 89.11 75.35 60.80°
Space group P1 (No. 1)
Asymmetric unit:
Ca1 0.0000 0.0000 0.0000 [1 per cell]
Hf1 0.2019 0.3819 0.2734 [1 per cell]
Hf2 0.2034 0.8862 0.7395 [1 per cell]
Hf3 0.3720 0.3275 0.9600 [1 per cell]
Hf4 0.3898 0.7901 0.4564 [1 per cell]
Hf5 0.6495 0.6754 0.0381 [1 per cell]
Hf6 0.6627 0.1884 0.5423 [1 per cell]
Hf7 0.8573 0.0459 0.2607 [1 per cell]
Hf8 0.8993 0.5201 0.7211 [1 per cell]
N1 0.0555 0.6243 0.8744 [1 per cell]
N2 0.0727 0.1063 0.3813 [1 per cell]
N3 0.2605 0.6553 0.1192 [1 per cell]
N4 0.2749 0.1651 0.6196 [1 per cell]
N5 0.4675 0.3962 0.3807 [1 per cell]
N6 0.5588 0.0508 0.1293 [1 per cell]
N7 0.5837 0.5620 0.6186 [1 per cell]
N8 0.7584 0.3084 0.8649 [1 per cell]
O1 0.4421 0.9323 0.8813 [1 per cell]
O2 0.7867 0.7640 0.3695 [1 per cell]
O3 0.9366 0.3629 0.1282 [1 per cell]
O4 0.9755 0.8418 0.6171 [1 per cell]


Result of the stability comparison: run b is the least stable of them.


Run a
Material: CaHfSN2
Method: DFT, PBE
State: optimized geometry

Cell: 4.0898 4.0898 4.9999 Å, 90.00 90.00 90.00°
Space group P4/mmm (No. 123)
Asymmetric unit:
Ca1 0.0000 0.0000 0.0000 [1 per cell]
Hf1 0.5000 0.5000 0.5000 [1 per cell]
S1 0.0000 0.0000 0.5000 [1 per cell]
N1 0.0000 0.5000 0.0000 [2 per cell]


Run b
Material: CaHfSN2
Method: DFT, PBE
State: optimized geometry

Cell: 4.1433 4.1433 5.1876 Å, 90.00 90.00 90.00°
Space group P4/mmm (No. 123)
Asymmetric unit:
Ca1 0.0000 0.0000 0.0000 [1 per cell]
Hf1 0.5000 0.5000 0.5000 [1 per cell]
S1 0.5000 0.5000 0.0000 [1 per cell]
N1 0.0000 0.5000 0.5000 [2 per cell]


Result of the stability comparison: run a is the least stable of them.


Run a
Material: CaHfSe2N
Method: DFT, PBE
State: optimized geometry

Cell: 5.2961 5.2961 4.0967 Å, 90.00 90.00 90.00°
Space group P4/mmm (No. 123)
Asymmetric unit:
Ca1 0.0000 0.0000 0.0000 [1 per cell]
Hf1 0.5000 0.5000 0.5000 [1 per cell]
Se1 0.0000 0.5000 0.5000 [2 per cell]
N1 0.5000 0.5000 0.0000 [1 per cell]


Run b
Material: CaHfSe2N
Method: DFT, PBE
State: optimized geometry

Cell: 5.2554 5.2554 4.0035 Å, 90.00 90.00 90.00°
Space group P4/mmm (No. 123)
Asymmetric unit:
Ca1 0.0000 0.0000 0.0000 [1 per cell]
Hf1 0.5000 0.5000 0.5000 [1 per cell]
Se1 0.0000 0.5000 0.0000 [2 per cell]
N1 0.0000 0.0000 0.5000 [1 per cell]


Result of the stability comparison: run b is the least stable of them.


Run a
Material: CaHfSeN2
Method: DFT, PBE
State: optimized geometry

Cell: 4.1568 4.1568 5.2265 Å, 90.00 90.00 90.00°
Space group P4/mmm (No. 123)
Asymmetric unit:
Ca1 0.0000 0.0000 0.0000 [1 per cell]
Hf1 0.5000 0.5000 0.5000 [1 per cell]
Se1 0.0000 0.0000 0.5000 [1 per cell]
N1 0.0000 0.5000 0.0000 [2 per cell]


Run b
Material: CaHfSeN2
Method: DFT, PBE
State: optimized geometry

Cell: 4.1658 4.1658 5.4794 Å, 90.00 90.00 90.00°
Space group P4/mmm (No. 123)
Asymmetric unit:
Ca1 0.0000 0.0000 0.0000 [1 per cell]
Hf1 0.5000 0.5000 0.5000 [1 per cell]
Se1 0.5000 0.5000 0.0000 [1 per cell]
N1 0.0000 0.5000 0.5000 [2 per cell]


Result of the stability comparison: run a is the least stable of them.


Run a
Material: Na2CaHf
Method: DFT, PBE
State: optimized geometry

Cell: 8.7796 8.7796 6.4941 Å, 90.00 90.00 90.00°
Space group I-42d (No. 122)
Asymmetric unit:
Na1 0.2466 0.2500 0.1250 [8 per cell]
Ca1 0.0000 0.0000 0.5000 [4 per cell]
Hf1 0.0000 0.0000 0.0000 [4 per cell]


Run b
Material: Na2CaHf
Method: DFT, PBE
State: optimized geometry

Cell: 7.8714 7.8714 7.8714 Å, 90.00 90.00 90.00°
Space group Fm-3m (No. 225)
Asymmetric unit:
Na1 0.2500 0.2500 0.2500 [8 per cell]
Ca1 0.0000 0.0000 0.0000 [4 per cell]
Hf1 0.0000 0.0000 0.5000 [4 per cell]


Result of the stability comparison: run a is the least stable of them.


Run a
Material: NaCa2Hf
Method: DFT, PBE
State: optimized geometry

Cell: 8.6755 8.6755 6.8701 Å, 90.00 90.00 90.00°
Space group I-42d (No. 122)
Asymmetric unit:
Na1 0.0000 0.0000 0.0000 [4 per cell]
Ca1 0.2321 0.2500 0.1250 [8 per cell]
Hf1 0.0000 0.0000 0.5000 [4 per cell]


Run b
Material: NaCa2Hf
Method: DFT, PBE
State: optimized geometry

Cell: 3.3761 3.3761 38.8362 Å, 90.00 90.00 120.00°
Space group R-3m (No. 166, hexagonal axes)
Asymmetric unit:
Na1 0.0000 0.0000 0.0000 [3 per cell]
Ca1 0.0000 0.0000 0.4171 [6 per cell]
Hf1 0.0000 0.0000 0.5000 [3 per cell]


Result of the stability comparison: run a is the least stable of them.


Run a
Material: Ca2HfNb
Method: DFT, PBE
State: optimized geometry

Cell: 8.6064 8.6064 5.8999 Å, 90.00 90.00 90.00°
Space group I-42d (No. 122)
Asymmetric unit:
Ca1 0.2337 0.2500 0.1250 [8 per cell]
Hf1 0.0000 0.0000 0.5000 [4 per cell]
Nb1 0.0000 0.0000 0.0000 [4 per cell]


Run b
Material: Ca2HfNb
Method: DFT, PBE
State: optimized geometry

Cell: 7.5261 7.5261 7.5261 Å, 90.00 90.00 90.00°
Space group Fm-3m (No. 225)
Asymmetric unit:
Ca1 0.2500 0.2500 0.2500 [8 per cell]
Hf1 0.0000 0.0000 0.0000 [4 per cell]
Nb1 0.0000 0.0000 0.5000 [4 per cell]


Result of the stability comparison: run a is the least stable of them.


Run a
Material: CaHfNb2
Method: DFT, PBE
State: optimized geometry

Cell: 7.8016 7.8016 5.9848 Å, 90.00 90.00 90.00°
Space group I-42d (No. 122)
Asymmetric unit:
Ca1 0.0000 0.0000 0.0000 [4 per cell]
Hf1 0.0000 0.0000 0.5000 [4 per cell]
Nb1 0.2414 0.2500 0.6250 [8 per cell]


Run b
Material: CaHfNb2
Method: DFT, PBE
State: optimized geometry

Cell: 7.0214 7.0214 7.0214 Å, 90.00 90.00 90.00°
Space group Fm-3m (No. 225)
Asymmetric unit:
Ca1 0.0000 0.0000 0.0000 [4 per cell]
Hf1 0.0000 0.0000 0.5000 [4 per cell]
Nb1 0.2500 0.2500 0.2500 [8 per cell]


Result of the stability comparison: run a is the least stable of them.


Run a
Material: CaHf3Ni
Method: DFT, PBE
State: optimized geometry

Cell: 4.9245 4.9245 4.9245 Å, 90.00 90.00 90.00°
Space group Pm-3m (No. 221)
Asymmetric unit:
Ca1 0.0000 0.0000 0.0000 [1 per cell]
Hf1 0.0000 0.0000 0.5000 [3 per cell]
Ni1 0.5000 0.5000 0.5000 [1 per cell]


Run b
Material: CaHf3Ni
Method: DFT, PBE
State: optimized geometry

Cell: 4.9501 4.9501 4.9501 Å, 90.00 90.00 90.00°
Space group Pm-3m (No. 221)
Asymmetric unit:
Ca1 0.0000 0.0000 0.0000 [1 per cell]
Hf1 0.0000 0.5000 0.5000 [3 per cell]
Ni1 0.5000 0.5000 0.5000 [1 per cell]


Result of the stability comparison: run a is the least stable of them.


Run a
Material: Ca2HfSnO6
Method: DFT, PBE
State: optimized geometry

Cell: 8.1645 8.1645 8.1645 Å, 90.00 90.00 90.00°
Space group Fm-3m (No. 225)
Asymmetric unit:
Ca1 0.2500 0.2500 0.2500 [8 per cell]
Hf1 0.0000 0.0000 0.0000 [4 per cell]
Sn1 0.0000 0.0000 0.5000 [4 per cell]
O1 0.0000 0.0000 0.2503 [24 per cell]


Run b
Material: Ca2HfSnO6
Method: DFT, PBE
State: optimized geometry

Cell: 5.5865 5.7537 9.7585 Å, 90.00 124.83 90.00°
Space group P2_1/c (No. 14)
Asymmetric unit:
Ca1 0.2357 0.0500 0.2489 [4 per cell]
Hf1 0.5000 0.0000 0.0000 [2 per cell]
Sn1 0.0000 0.0000 0.5000 [2 per cell]
O1 0.1465 0.2015 0.9470 [4 per cell]
O2 0.2457 0.7031 0.9450 [4 per cell]
O3 0.3528 0.0375 0.7503 [4 per cell]


Result of the stability comparison: run a is the least stable of them.